A geometry-optimized Ga2CoOsI structure. Source: Alexandria via LeMat-Bulk, functional PBE.

```
5
Lattice="-0.928 1.343 4.302 0.929 -4.316 1.548 4.413 1.161 0.590" Properties=species:S:1:pos:R:3 pbc="T T T"
Os 0.464 -2.158 0.774
Ga -0.464 0.672 2.151
Ga 2.206 0.581 0.295
I 2.207 -0.906 3.220
Co 0.000 0.000 0.000
```

- Formation energy without anion corrections: 3.6 eV per formula unit
- Calculated total energy: -4.46 eV per atom